1.
PBE-GGA AlTl2S, optimized geometry; raw formation energy = 0.2107 eV/atom; ΔE to the lowest computed polymorph = 0.051 eV/atom; Fermi-level density of states = 3.6 states/eV/f.u.; spin magnetization = 0.000 μB per formula unit; SG = No. 225
1.0
0.250 2.444 4.629
0.462 5.217 0.187
-4.025 2.930 1.637
Tl S Al
2 1 1
direct
0.250 0.250 0.250
0.750 0.750 0.750
0.500 0.500 0.500
0.000 0.000 0.000

---

2.
PBE-GGA AlTl3S3, optimized geometry; raw formation energy = -0.6376 eV/atom; ΔE to the lowest computed polymorph = 0.008 eV/atom; Fermi-level density of states = 0.0 states/eV/f.u.; spin magnetization = 0.000 μB per formula unit; SG = No. 12
1.0
-6.473 -0.248 3.311
4.740 -4.676 2.933
2.952 7.203 3.192
Al Tl S
2 6 6
direct
0.845 0.845 0.847
0.155 0.155 0.153
0.613 0.613 0.363
0.169 0.831 0.500
0.831 0.169 0.500
0.279 0.721 0.000
0.721 0.279 0.000
0.387 0.387 0.637
0.866 0.866 0.124
0.862 0.557 0.717
0.557 0.862 0.717
0.138 0.443 0.283
0.443 0.138 0.283
0.134 0.134 0.876